First-principles (PBE) data for a geometry-optimized ZrMnBe17 structure, as listed in the Alexandria database.

a = 5.578 Å, b = 5.578 Å, c = 5.578 Å
α = 82.93°, β = 82.93°, γ = 82.93°
Last column: magnetic moment on the atom in μB.
Element x y z (fractional)
Be1 0.148 0.656 0.656  -0.02
Be2 0.095 0.095 0.095  0.00
Be3 0.995 0.708 0.298  -0.02
Be4 0.349 0.836 0.349  -0.02
Be5 0.005 0.496 0.005  0.00
Be6 0.005 0.005 0.496  0.00
Be7 0.995 0.298 0.708  -0.02
Be8 0.656 0.656 0.148  -0.02
Be9 0.298 0.708 0.995  -0.02
Be10 0.656 0.148 0.656  -0.02
Be11 0.708 0.995 0.298  -0.02
Be12 0.708 0.298 0.995  -0.02
Be13 0.496 0.005 0.005  0.00
Be14 0.349 0.349 0.836  -0.02
Be15 0.298 0.995 0.708  -0.02
Be16 0.836 0.349 0.349  -0.02
Be17 0.898 0.898 0.898  -0.03
Zr1 0.339 0.339 0.339  0.07
Mn1 0.667 0.667 0.667  2.80

The value obtained for the total energy is -83.81 eV per cell. The energy relative to the elements comes out at -0.145 eV per atom. The calculation puts the density of states at the Fermi level at 0.18 states/eV/atom.



First-principles (PBE) data for a geometry-optimized Be5Mo structure, as listed in the Alexandria database.

a = 4.312 Å, b = 4.312 Å, c = 4.312 Å
α = 60.00°, β = 60.00°, γ = 60.00°
Element x y z (fractional)
Be1 0.627 0.627 0.627
Be2 0.627 0.119 0.627
Be3 0.250 0.250 0.250
Be4 0.627 0.627 0.119
Be5 0.119 0.627 0.627
Mo1 0.000 0.000 0.000

The value obtained for the total energy is -29.10 eV per cell. The energy relative to the elements comes out at 0.060 eV per atom. The energy above the lowest structure with this stoichiometry comes out at 208 meV per atom. The calculation puts the density of states at the Fermi level at 0.57 states/eV/atom.



First-principles (PBE) data for a geometry-optimized Be4Mo structure, as listed in the Alexandria database.

a = 4.778 Å, b = 4.778 Å, c = 4.778 Å
α = 139.12°, β = 139.12°, γ = 59.19°
Element x y z (fractional)
Be1 0.250 0.750 0.500
Be2 0.386 0.386 0.000
Be3 0.614 0.614 0.000
Be4 0.750 0.250 0.500
Mo1 0.000 0.000 0.000

The value obtained for the total energy is -26.50 eV per cell. The energy relative to the elements comes out at -0.154 eV per atom. The energy above the lowest structure with this stoichiometry comes out at 0 meV per atom. The calculation puts the density of states at the Fermi level at 0.15 states/eV/atom.



First-principles (PBE) data for a geometry-optimized Be23Mo6 structure, as listed in the Alexandria database.

a = 7.269 Å, b = 7.269 Å, c = 7.269 Å
α = 60.00°, β = 60.00°, γ = 60.00°
Element x y z (fractional)
Be1 0.500 0.000 0.000
Be2 0.827 0.827 0.827
Be3 0.173 0.173 0.173
Be4 0.140 0.620 0.620
Be5 0.380 0.380 0.380
Be6 0.380 0.380 0.860
Be7 0.000 0.000 0.500
Be8 0.620 0.620 0.140
Be9 0.000 0.500 0.000
Be10 0.173 0.482 0.173
Be11 0.500 0.500 0.500
Be12 0.518 0.827 0.827
Be13 0.500 0.000 0.500
Be14 0.860 0.380 0.380
Be15 0.482 0.173 0.173
Be16 0.620 0.140 0.620
Be17 0.827 0.518 0.827
Be18 0.620 0.620 0.620
Be19 0.380 0.860 0.380
Be20 0.000 0.500 0.500
Be21 0.827 0.827 0.518
Be22 0.173 0.173 0.482
Be23 0.500 0.500 0.000
Mo1 0.194 0.806 0.806
Mo2 0.806 0.806 0.194
Mo3 0.806 0.194 0.806
Mo4 0.194 0.194 0.806
Mo5 0.806 0.194 0.194
Mo6 0.194 0.806 0.194

The value obtained for the total energy is -156.75 eV per cell. The energy relative to the elements comes out at -0.209 eV per atom. The calculation puts the density of states at the Fermi level at 0.14 states/eV/atom.



First-principles (PBE) data for a geometry-optimized BeMo structure, as listed in the Alexandria database.

a = 2.713 Å, b = 2.713 Å, c = 8.260 Å
α = 90.00°, β = 90.00°, γ = 120.00°
Element x y z (fractional)
Be1 0.333 0.667 0.250
Be2 0.667 0.333 0.750
Mo1 0.000 0.000 0.000
Mo2 0.000 0.000 0.500

The value obtained for the total energy is -27.76 eV per cell. The energy relative to the elements comes out at 0.339 eV per atom. The energy above the lowest structure with this stoichiometry comes out at 575 meV per atom. The calculation puts the density of states at the Fermi level at 0.81 states/eV/atom.



First-principles (PBE) data for a geometry-optimized Be2Mo structure, as listed in the Alexandria database.

a = 6.335 Å, b = 6.335 Å, c = 4.207 Å
α = 90.00°, β = 90.00°, γ = 156.82°
Element x y z (fractional)
Be1 0.600 0.400 0.250
Be2 0.400 0.600 0.750
Be3 0.755 0.245 0.750
Be4 0.245 0.755 0.250
Mo1 0.920 0.080 0.250
Mo2 0.080 0.920 0.750

The value obtained for the total energy is -35.99 eV per cell. The energy relative to the elements comes out at 0.095 eV per atom. The energy above the lowest structure with this stoichiometry comes out at 427 meV per atom. The calculation puts the density of states at the Fermi level at 0.18 states/eV/atom.



First-principles (PBE) data for a geometry-optimized BeMo2 structure, as listed in the Alexandria database.

a = 5.508 Å, b = 5.508 Å, c = 5.508 Å
α = 90.00°, β = 90.00°, γ = 90.00°
Element x y z (fractional)
Be1 0.000 0.000 0.000
Be2 0.500 0.500 0.000
Be3 0.000 0.500 0.500
Be4 0.500 0.000 0.500
Mo1 0.866 0.134 0.366
Mo2 0.866 0.366 0.866
Mo3 0.134 0.634 0.134
Mo4 0.134 0.866 0.634
Mo5 0.634 0.866 0.866
Mo6 0.366 0.366 0.634
Mo7 0.634 0.634 0.366
Mo8 0.366 0.134 0.134

The value obtained for the total energy is -96.00 eV per cell. The energy relative to the elements comes out at 0.463 eV per atom. The energy above the lowest structure with this stoichiometry comes out at 588 meV per atom. The calculation puts the density of states at the Fermi level at 0.57 states/eV/atom.



First-principles (PBE) data for a geometry-optimized BeMo2 structure, as listed in the Alexandria database.

a = 4.662 Å, b = 4.662 Å, c = 4.662 Å
α = 147.53°, β = 127.94°, γ = 62.71°
Element x y z (fractional)
Be1 0.000 0.000 0.000
Mo1 0.661 0.661 0.000
Mo2 0.339 0.339 0.000

The value obtained for the total energy is -24.83 eV per cell. The energy relative to the elements comes out at 0.185 eV per atom. The energy above the lowest structure with this stoichiometry comes out at 310 meV per atom. The calculation puts the density of states at the Fermi level at 0.51 states/eV/atom.



First-principles (PBE) data for a geometry-optimized BeMo structure, as listed in the Alexandria database.

a = 7.958 Å, b = 7.958 Å, c = 3.319 Å
α = 90.00°, β = 90.00°, γ = 90.00°
Element x y z (fractional)
Mo1 0.221 0.638 0.500
Mo2 0.600 0.124 0.000
Mo3 0.779 0.362 0.500
Mo4 0.876 0.600 0.000
Mo5 0.124 0.400 0.000
Mo6 0.362 0.221 0.500
Mo7 0.638 0.779 0.500
Mo8 0.400 0.876 0.000
Be1 0.048 0.195 0.500
Be2 0.805 0.048 0.500
Be3 0.952 0.805 0.500
Be4 0.096 0.824 0.000
Be5 0.824 0.904 0.000
Be6 0.904 0.176 0.000
Be7 0.195 0.952 0.500
Be8 0.176 0.096 0.000

The value obtained for the total energy is -111.63 eV per cell. The energy relative to the elements comes out at 0.302 eV per atom. The energy above the lowest structure with this stoichiometry comes out at 538 meV per atom. The calculation puts the density of states at the Fermi level at 0.43 states/eV/atom.



First-principles (PBE) data for a geometry-optimized BeMo structure, as listed in the Alexandria database.

a = 7.349 Å, b = 7.349 Å, c = 7.349 Å
α = 90.00°, β = 90.00°, γ = 90.00°
Last column: magnetic moment on the atom in μB.
Element x y z (fractional)
Mo1 0.626 0.374 0.626  0.40
Mo2 0.126 0.126 0.874  0.40
Mo3 0.126 0.874 0.126  0.40
Mo4 0.626 0.626 0.374  0.40
Mo5 0.374 0.374 0.374  0.40
Mo6 0.874 0.874 0.874  0.40
Mo7 0.374 0.626 0.626  0.40
Mo8 0.874 0.126 0.126  0.40
Be1 0.187 0.187 0.187  0.05
Be2 0.813 0.187 0.813  0.05
Be3 0.313 0.313 0.687  0.05
Be4 0.687 0.313 0.313  0.05
Be5 0.187 0.813 0.813  0.05
Be6 0.687 0.687 0.687  0.05
Be7 0.313 0.687 0.313  0.05
Be8 0.813 0.813 0.187  0.05

The value obtained for the total energy is -86.37 eV per cell. The energy relative to the elements comes out at 1.881 eV per atom. The energy above the lowest structure with this stoichiometry comes out at 2117 meV per atom. The calculation puts the density of states at the Fermi level at 1.26 states/eV/atom.



First-principles (PBE) data for a geometry-optimized Be2Mo structure, as listed in the Alexandria database.

a = 4.834 Å, b = 4.834 Å, c = 3.533 Å
α = 90.00°, β = 90.00°, γ = 128.65°
Element x y z (fractional)
Be1 0.457 0.854 0.750
Be2 0.543 0.146 0.250
Be3 0.854 0.457 0.750
Be4 0.146 0.543 0.250
Mo1 0.230 0.230 0.750
Mo2 0.770 0.770 0.250

The value obtained for the total energy is -36.76 eV per cell. The energy relative to the elements comes out at -0.032 eV per atom. The energy above the lowest structure with this stoichiometry comes out at 300 meV per atom. The calculation puts the density of states at the Fermi level at 0.25 states/eV/atom.



First-principles (PBE) data for a geometry-optimized BeMo2 structure, as listed in the Alexandria database.

a = 6.610 Å, b = 6.610 Å, c = 3.170 Å
α = 90.00°, β = 90.00°, γ = 120.00°
Element x y z (fractional)
Mo1 0.599 0.000 0.500
Mo2 0.401 0.401 0.500
Mo3 0.000 0.264 0.000
Mo4 0.000 0.599 0.500
Mo5 0.736 0.736 0.000
Mo6 0.264 0.000 0.000
Be1 0.667 0.333 0.000
Be2 0.000 0.000 0.500
Be3 0.333 0.667 0.000

The value obtained for the total energy is -76.22 eV per cell. The energy relative to the elements comes out at -0.006 eV per atom. The energy above the lowest structure with this stoichiometry comes out at 119 meV per atom. The calculation puts the density of states at the Fermi level at 0.71 states/eV/atom.



First-principles (PBE) data for a geometry-optimized BeMo2 structure, as listed in the Alexandria database.

a = 4.712 Å, b = 4.712 Å, c = 4.712 Å
α = 104.87°, β = 104.87°, γ = 119.13°
Element x y z (fractional)
Mo1 0.832 0.332 0.165
Mo2 0.168 0.668 0.835
Mo3 0.668 0.832 0.500
Mo4 0.332 0.168 0.500
Be1 0.750 0.750 0.000
Be2 0.250 0.250 0.000

The value obtained for the total energy is -51.53 eV per cell. The energy relative to the elements comes out at -0.125 eV per atom. The energy above the lowest structure with this stoichiometry comes out at 0 meV per atom. The calculation puts the density of states at the Fermi level at 0.42 states/eV/atom.



First-principles (PBE) data for a geometry-optimized Be5Mo structure, as listed in the Alexandria database.

a = 3.464 Å, b = 3.409 Å, c = 5.117 Å
α = 109.46°, β = 90.00°, γ = 90.00°
Element x y z (fractional)
Be1 0.000 0.686 0.373
Be2 0.500 0.830 0.660
Be3 0.500 0.170 0.340
Be4 0.500 0.500 0.000
Be5 0.000 0.314 0.627
Mo1 0.000 0.000 0.000

The value obtained for the total energy is -29.90 eV per cell. The energy relative to the elements comes out at -0.073 eV per atom. The energy above the lowest structure with this stoichiometry comes out at 75 meV per atom. The calculation puts the density of states at the Fermi level at 0.25 states/eV/atom.



First-principles (PBE) data for a geometry-optimized BeMo structure, as listed in the Alexandria database.

a = 3.896 Å, b = 3.896 Å, c = 4.575 Å
α = 90.00°, β = 90.00°, γ = 120.00°
Element x y z (fractional)
Be1 0.333 0.667 0.250
Be2 0.667 0.333 0.750
Mo1 0.333 0.667 0.750
Mo2 0.667 0.333 0.250

The value obtained for the total energy is -24.89 eV per cell. The energy relative to the elements comes out at 1.056 eV per atom. The energy above the lowest structure with this stoichiometry comes out at 1293 meV per atom. The calculation puts the density of states at the Fermi level at 0.49 states/eV/atom.



First-principles (PBE) data for a geometry-optimized Be2Mo structure, as listed in the Alexandria database.

a = 4.426 Å, b = 4.426 Å, c = 2.340 Å
α = 90.00°, β = 90.00°, γ = 90.00°
Element x y z (fractional)
Be1 0.500 0.000 0.000
Be2 0.000 0.500 0.000
Mo1 0.000 0.000 0.500

The value obtained for the total energy is -16.48 eV per cell. The energy relative to the elements comes out at 0.601 eV per atom. The energy above the lowest structure with this stoichiometry comes out at 933 meV per atom. The calculation puts the density of states at the Fermi level at 0.49 states/eV/atom.



First-principles (PBE) data for a geometry-optimized Be2Mo structure, as listed in the Alexandria database.

a = 4.910 Å, b = 4.910 Å, c = 4.910 Å
α = 148.39°, β = 148.39°, γ = 45.30°
Element x y z (fractional)
Mo1 0.000 0.000 0.000
Be1 0.310 0.310 0.000
Be2 0.690 0.690 0.000

The value obtained for the total energy is -18.19 eV per cell. The energy relative to the elements comes out at 0.033 eV per atom. The energy above the lowest structure with this stoichiometry comes out at 365 meV per atom. The calculation puts the density of states at the Fermi level at 0.46 states/eV/atom.



First-principles (PBE) data for a geometry-optimized Be5Mo structure, as listed in the Alexandria database.

a = 2.612 Å, b = 2.612 Å, c = 8.351 Å
α = 90.00°, β = 90.00°, γ = 90.00°
Element x y z (fractional)
Be1 0.500 0.500 0.356
Be2 0.000 0.000 0.788
Be3 0.500 0.500 0.644
Be4 0.000 0.000 0.500
Be5 0.000 0.000 0.212
Mo1 0.500 0.500 0.000

The value obtained for the total energy is -29.05 eV per cell. The energy relative to the elements comes out at 0.068 eV per atom. The energy above the lowest structure with this stoichiometry comes out at 216 meV per atom. The calculation puts the density of states at the Fermi level at 0.34 states/eV/atom.



First-principles (PBE) data for a geometry-optimized BeMo structure, as listed in the Alexandria database.

a = 2.602 Å, b = 4.623 Å, c = 4.181 Å
α = 90.00°, β = 90.00°, γ = 90.00°
Element x y z (fractional)
Be1 0.500 0.500 0.000
Be2 0.000 0.000 0.500
Mo1 0.500 0.000 0.000
Mo2 0.000 0.500 0.500

The value obtained for the total energy is -27.91 eV per cell. The energy relative to the elements comes out at 0.300 eV per atom. The energy above the lowest structure with this stoichiometry comes out at 537 meV per atom. The calculation puts the density of states at the Fermi level at 0.35 states/eV/atom.



First-principles (PBE) data for a geometry-optimized BeMo structure, as listed in the Alexandria database.

a = 4.180 Å, b = 4.180 Å, c = 4.180 Å
α = 60.00°, β = 60.00°, γ = 60.00°
Element x y z (fractional)
Be1 0.750 0.750 0.750
Be2 0.000 0.000 0.000
Mo1 0.250 0.250 0.250
Mo2 0.500 0.500 0.500

The value obtained for the total energy is -28.22 eV per cell. The energy relative to the elements comes out at 0.223 eV per atom. The energy above the lowest structure with this stoichiometry comes out at 460 meV per atom. The calculation puts the density of states at the Fermi level at 0.13 states/eV/atom.